First-principles (PBE+U) data for an optimized crystal structure of Fe2NiTeO6, as listed in Alexandria via LeMat-Bulk.

Output
The value obtained for the final energy is -58.7 eV per formula unit.

```
20
Lattice="5.3565 0.0000 0.0000 0.0000 5.3361 0.0000 -5.3136 0.0000 7.6688" Properties=species:S:1:pos:R:3 pbc="T T T"
Fe 0.0450 0.1836 1.7591
Fe -2.6118 2.4845 5.5936
Fe 2.6548 2.8516 2.0753
Fe -0.0020 5.1526 5.9097
Ni -2.6568 0.0000 3.8344
Ni 0.0000 2.6681 0.0000
Te 2.6783 0.0000 0.0000
Te 0.0215 2.6681 3.8344
O -4.3318 0.9153 7.3475
O -1.6750 1.7527 3.5131
O -3.5238 3.7111 7.0444
O -0.8670 4.2931 3.2100
O -2.0285 0.4348 5.8414
O 0.6283 2.2332 2.0070
O -0.5854 3.1029 5.6619
O 2.0714 4.9013 1.8275
O 0.9099 1.0430 4.4588
O 3.5668 1.6250 0.6244
O 1.7179 3.5834 4.1557
O 4.3747 4.4208 0.3213
```